Record 1
A plane-wave DFT calculation with PBE-GGA was carried out for crystalline VGa2Ni8 at its relaxed geometry.

Results
Offset from the most stable computed form (eV/f.u.): 0.10
Symmetry: C2/m, No. 12
Total DFT energy (no corrections) (eV/cell): -62.2

The structure in POSCAR format:
```
VGa2Ni8
1.0
-1.302 -1.703 3.514
-5.293 -3.580 -0.520
0.511 -6.311 -1.281
Ni Ga V
8 2 1
Direct
0.127 0.903 0.783 Ni
0.690 0.602 0.000 Ni
0.873 0.314 0.783 Ni
0.310 0.398 0.000 Ni
0.500 0.792 0.416 Ni
0.873 0.097 0.217 Ni
0.500 0.208 0.584 Ni
0.127 0.686 0.217 Ni
0.000 0.306 0.388 Ga
0.000 0.694 0.612 Ga
0.500 0.000 0.000 V
```

***

Record 2
A plane-wave DFT calculation with PBE-GGA was carried out for crystalline CsK3Be at its relaxed geometry.

Results
Offset from the most stable computed form (eV/f.u.): 0.00
Symmetry: Pm-3m, No. 221
Total DFT energy (no corrections) (eV/cell): -5.5

The structure in POSCAR format:
```
CsK3Be
1.0
-5.411 -2.510 3.329
3.823 -0.813 5.602
-1.662 6.301 2.049
K Cs Be
3 1 1
Direct
0.000 0.500 0.000 K
0.000 0.000 0.500 K
0.500 0.000 0.000 K
0.500 0.500 0.500 Cs
0.000 0.000 0.000 Be
```

***

Record 3
A plane-wave DFT calculation with PBE-GGA was carried out for crystalline La3Ho2NbN6 at its relaxed geometry.

Results
Uncorrected formation energy (eV/atom): -1.39
Symmetry: C2/m, No. 12
Total DFT energy (no corrections) (eV/cell): -100.7

The structure in POSCAR format:
```
La3Ho2NbN6
1.0
-0.985 -4.217 4.189
4.530 -0.654 -3.919
2.402 4.427 3.580
La N Ho Nb
3 6 2 1
Direct
0.834 0.166 0.500 La
0.166 0.834 0.500 La
0.500 0.500 0.500 La
0.763 0.763 0.220 N
0.928 0.619 0.786 N
0.381 0.072 0.214 N
0.072 0.381 0.214 N
0.237 0.237 0.780 N
0.619 0.928 0.786 N
0.333 0.667 0.000 Ho
0.667 0.333 0.000 Ho
0.000 0.000 0.000 Nb
```

***

Record 4
A plane-wave DFT calculation with PBE-GGA was carried out for crystalline KNaHg2Pt at its relaxed geometry.

Results
Offset from the most stable computed form (eV/f.u.): 0.79
Symmetry: P4/mmm, No. 123
Total DFT energy (no corrections) (eV/cell): -9.4

The structure in POSCAR format:
```
KNaHg2Pt
1.0
-2.114 -3.492 3.487
2.407 -4.041 -2.588
4.681 0.591 3.431
Hg K Na Pt
2 1 1 1
Direct
0.500 0.000 0.000 Hg
0.000 0.500 0.000 Hg
0.000 0.000 0.500 K
0.500 0.500 0.500 Na
0.000 0.000 0.000 Pt
```

***

Record 5
A plane-wave DFT calculation with PBE-GGA was carried out for crystalline Ac2LuCl at its relaxed geometry.

Results
Uncorrected formation energy (eV/atom): -0.40
Symmetry: R-3m, No. 166
Total DFT energy (no corrections) (eV/cell): -16.2

The structure in POSCAR format:
```
Ac2LuCl
1.0
-0.096 1.492 3.373
-3.235 0.915 1.521
-1.941 -10.163 6.459
Ac Cl Lu
2 1 1
Direct
0.098 0.098 0.705 Ac
0.902 0.902 0.295 Ac
0.500 0.500 0.500 Cl
0.000 0.000 0.000 Lu
```

***

Record 6
A plane-wave DFT calculation with PBE-GGA was carried out for crystalline Pr5Sm12Ho2 at its relaxed geometry.

Results
Offset from the most stable computed form (eV/f.u.): 1.89
Symmetry: C2/m, No. 12
Total DFT energy (no corrections) (eV/cell): -85.9

The structure in POSCAR format:
```
Pr5Sm12Ho2
1.0
-3.466 8.566 0.220
-6.647 -7.691 0.564
-2.979 -1.415 8.175
Pr Sm Ho
5 12 2
Direct
0.242 0.484 0.708 Pr
0.000 0.000 0.500 Pr
0.758 0.516 0.292 Pr
0.293 0.586 0.218 Pr
0.707 0.414 0.782 Pr
0.399 0.258 0.542 Sm
0.959 0.292 0.096 Sm
0.443 0.886 0.715 Sm
0.041 0.708 0.904 Sm
0.049 0.099 0.817 Sm
0.601 0.742 0.458 Sm
0.333 0.292 0.096 Sm
0.951 0.901 0.183 Sm
0.859 0.258 0.542 Sm
0.667 0.708 0.904 Sm
0.141 0.742 0.458 Sm
0.557 0.114 0.285 Sm
0.327 0.000 0.000 Ho
0.673 0.000 0.000 Ho
```

***

Record 7
A plane-wave DFT calculation with PBE-GGA was carried out for crystalline Sr2ZnSiPd6 at its relaxed geometry.

Results
Uncorrected formation energy (eV/atom): -0.60
Symmetry: C2/m, No. 12
Total DFT energy (no corrections) (eV/cell): -47.2

The structure in POSCAR format:
```
Sr2ZnSiPd6
1.0
5.721 0.008 -0.009
-0.012 8.063 -0.220
2.862 3.870 4.405
Pd Sr Si Zn
6 2 1 1
Direct
0.252 0.385 0.497 Pd
0.233 0.720 0.021 Pd
0.254 0.280 0.979 Pd
0.767 0.280 0.979 Pd
0.748 0.615 0.503 Pd
0.746 0.720 0.021 Pd
0.265 0.802 0.471 Sr
0.735 0.198 0.529 Sr
0.500 0.500 0.000 Si
0.000 0.000 0.000 Zn
```

***

Record 8
A plane-wave DFT calculation with PBE-GGA was carried out for crystalline NaPr2PaS5 at its relaxed geometry.

Results
Uncorrected formation energy (eV/atom): -1.62
Symmetry: Immm, No. 71
Total DFT energy (no corrections) (eV/cell): -55.6

The structure in POSCAR format:
```
NaPr2PaS5
1.0
-1.769 1.773 4.402
-1.755 -6.650 1.973
8.098 1.619 -0.311
Na Pr S Pa
1 2 5 1
Direct
0.000 0.500 0.000 Na
0.797 0.797 0.594 Pr
0.203 0.203 0.406 Pr
0.353 0.613 0.706 S
0.353 0.093 0.706 S
0.647 0.907 0.294 S
0.647 0.387 0.294 S
0.000 0.000 0.000 S
0.500 0.000 0.000 Pa
```

***

Record 9
A plane-wave DFT calculation with PBE-GGA was carried out for crystalline Ba2RuCl at its relaxed geometry.

Results
Offset from the most stable computed form (eV/f.u.): 0.92
Uncorrected formation energy (eV/atom): -0.30
Symmetry: Fm-3m, No. 225
Total DFT energy (no corrections) (eV/cell): -16.2

The structure in POSCAR format:
```
Ba2RuCl
1.0
0.000 3.931 3.931
3.931 0.000 3.931
3.931 3.931 0.000
Cl Ba Ru
1 2 1
Direct
0.000 0.000 0.000 Cl
0.250 0.250 0.250 Ba
0.750 0.750 0.750 Ba
0.500 0.500 0.500 Ru
```

***

Record 10
A plane-wave DFT calculation with PBE-GGA was carried out for crystalline RbSi3B at its relaxed geometry.

Results
Offset from the most stable computed form (eV/f.u.): 10.41
Uncorrected formation energy (eV/atom): 3.09
Symmetry: Pm-3m, No. 221
Total DFT energy (no corrections) (eV/cell): -8.5

The structure in POSCAR format:
```
RbSi3B
1.0
5.568 0.000 0.000
0.000 5.568 0.000
0.000 0.000 5.568
Si Rb B
3 1 1
Direct
0.500 0.000 0.000 Si
0.000 0.500 0.000 Si
0.000 0.000 0.500 Si
0.000 0.000 0.000 Rb
0.500 0.500 0.500 B
```

***

Record 11
A plane-wave DFT calculation with PBE-GGA was carried out for crystalline ZrSc2Be at its relaxed geometry.

Results
Symmetry: P4/mmm, No. 123
Total DFT energy (no corrections) (eV/cell): -24.5

The structure in POSCAR format:
```
ZrSc2Be
1.0
4.275 0.000 0.000
0.000 4.278 0.000
0.000 0.000 4.300
Zr Sc Be
1 2 1
Direct
0.500 0.000 0.500 Zr
0.500 0.500 0.000 Sc
0.000 0.000 0.000 Sc
0.000 0.500 0.500 Be
```

***

Record 12
A plane-wave DFT calculation with PBE-GGA was carried out for crystalline TbCd2Ag8 at its relaxed geometry.

Results
Offset from the most stable computed form (eV/f.u.): 0.00
Symmetry: C2/m, No. 12
Total DFT energy (no corrections) (eV/cell): -30.3

The structure in POSCAR format:
```
TbCd2Ag8
1.0
4.225 0.000 -1.215
-0.664 6.296 -2.310
-0.038 0.501 7.824
Ag Cd Tb
8 2 1
Direct
0.046 0.723 0.092 Ag
0.862 0.807 0.725 Ag
0.954 0.277 0.908 Ag
0.686 0.912 0.371 Ag
0.593 0.469 0.186 Ag
0.138 0.193 0.275 Ag
0.407 0.531 0.814 Ag
0.314 0.088 0.629 Ag
0.228 0.645 0.457 Cd
0.772 0.355 0.543 Cd
0.500 0.000 0.000 Tb
```